## Na2Si2Au3 (GGA-PBE)

Data for a relaxed Na2Si2Au3 crystal.

Cell: 4.5384 5.5918 6.3681 Å, 70.04 90.00 113.94°
Closest atoms and distances in Å follow each position.
Fractional positions:
Si: 0.9086 0.8172 0.4265  1 Si 2.38, 4 Au 2.52-2.56
Au: 0.3476 0.6951 0.2988  3 Si 2.55-2.56
Au: 0.0000 0.0000 0.0000  2 Si 2.52
Na: 0.6595 0.3190 0.1962  8 Au 3.01-3.30, 4 Si 3.19-3.33
Au: 0.6524 0.3049 0.7012  3 Si 2.55-2.56
Si: 0.0914 0.1828 0.5735  1 Si 2.38, 4 Au 2.52-2.56
Na: 0.3405 0.6810 0.8038  8 Au 3.01-3.30, 4 Si 3.19-3.33

Summary:
E_form (uncorrected): -0.24 eV/atom
Symmetry: C2/m, No. 12
Energy: -3.566 eV per atom
Volume: 19.573 Å³ per atom
Crystal system: monoclinic